# PaSnHg2 | Alexandria via LeMat-Bulk | PBE | optimized geometry
data_PaSnHg2
_symmetry_space_group_name_H-M 'P 4/m m m'
_symmetry_Int_Tables_number 123
_symmetry_space_group_name_Hall '-P 4 2'
_cell_length_a 4.509
_cell_length_b 4.509
_cell_length_c 4.881
_cell_angle_alpha 90.00
_cell_angle_beta 90.00
_cell_angle_gamma 90.00
loop_
_atom_site_label
_atom_site_type_symbol
_atom_site_fract_x
_atom_site_fract_y
_atom_site_fract_z
Pa1 Pa 0.000 0.000 0.000
Sn1 Sn 0.500 0.500 0.000
Hg1 Hg 0.000 0.500 0.500
# Offset from the most stable computed form ... 0.0000 eV per atom
# DFT formation energy ... -0.095 eV per atom
# Calculated volume ... 24.814 A^3/atom

# Pa2SnHg | Alexandria via LeMat-Bulk | PBE | optimized geometry
data_Pa2SnHg
_symmetry_space_group_name_H-M 'P 4/m m m'
_symmetry_Int_Tables_number 123
_symmetry_space_group_name_Hall '-P 4 2'
_cell_length_a 4.575
_cell_length_b 4.575
_cell_length_c 4.726
_cell_angle_alpha 90.00
_cell_angle_beta 90.00
_cell_angle_gamma 90.00
loop_
_atom_site_label
_atom_site_type_symbol
_atom_site_fract_x
_atom_site_fract_y
_atom_site_fract_z
Pa1 Pa 0.000 0.500 0.000
Sn1 Sn 0.000 0.000 0.500
Hg1 Hg 0.500 0.500 0.500
# Offset from the most stable computed form ... 0.0000 eV per atom
# DFT formation energy ... -0.042 eV per atom
# Calculated volume ... 24.730 A^3/atom

# TmPaSnHg | Alexandria via LeMat-Bulk | PBE | optimized geometry
data_TmPaSnHg
_symmetry_space_group_name_H-M 'F -4 3 m'
_symmetry_Int_Tables_number 216
_symmetry_space_group_name_Hall 'F -4 2 3'
_cell_length_a 7.455
_cell_length_b 7.455
_cell_length_c 7.455
_cell_angle_alpha 90.00
_cell_angle_beta 90.00
_cell_angle_gamma 90.00
loop_
_atom_site_label
_atom_site_type_symbol
_atom_site_fract_x
_atom_site_fract_y
_atom_site_fract_z
Tm1 Tm 0.000 0.000 0.000
Pa1 Pa 0.000 0.000 0.500
Sn1 Sn 0.250 0.250 0.750
Hg1 Hg 0.250 0.250 0.250
# DFT formation energy ... -0.172 eV per atom
# Calculated volume ... 25.891 A^3/atom

# YPaSnHg | Alexandria via LeMat-Bulk | PBE | optimized geometry
data_YPaSnHg
_symmetry_space_group_name_H-M 'F -4 3 m'
_symmetry_Int_Tables_number 216
_symmetry_space_group_name_Hall 'F -4 2 3'
_cell_length_a 7.505
_cell_length_b 7.505
_cell_length_c 7.505
_cell_angle_alpha 90.00
_cell_angle_beta 90.00
_cell_angle_gamma 90.00
loop_
_atom_site_label
_atom_site_type_symbol
_atom_site_fract_x
_atom_site_fract_y
_atom_site_fract_z
Y1 Y 0.000 0.000 0.000
Pa1 Pa 0.000 0.000 0.500
Sn1 Sn 0.250 0.250 0.250
Hg1 Hg 0.250 0.250 0.750
# DFT formation energy ... -0.199 eV per atom
# Calculated volume ... 26.424 A^3/atom

Among the records above, which one has the lowest calculated volume? Pa2SnHg